# 1
# Rb3SnGe

Rb3SnGe after structural relaxation (PBE, Alexandria via LeMat-Bulk).

Lattice parameters (Å, degrees): 8.4606 8.4606 8.7217 112.34 116.89 98.16
With the nearest neighbours (Å) after each atom.
Fractional coordinates of all 10 atoms:
Rb (0.8587, 0.0318, 0.2637)  2 Ge 3.58-3.88
Ge (0.4105, 0.2020, 0.6124)  2 Sn 2.71-2.80
Sn (0.3089, 0.9403, 0.2492)  2 Ge 2.71-2.80
Rb (0.7682, 0.5950, 0.7363)  2 Ge 3.58-3.88
Rb (0.7061, 0.4345, 0.1406)  2 Ge 3.55-3.58, 1 Sn 3.60, 1 Rb 3.85
Sn (0.6911, 0.0597, 0.7508)  2 Ge 2.71-2.80
Rb (0.1413, 0.9682, 0.7363)  2 Ge 3.58-3.88
Ge (0.5895, 0.7980, 0.3876)  2 Sn 2.71-2.80
Rb (0.2939, 0.5655, 0.8594)  2 Ge 3.55-3.58, 1 Sn 3.60, 1 Rb 3.85
Rb (0.2318, 0.4050, 0.2637)  2 Ge 3.58-3.88

Output
Symmetry: C2/m
E_tot in eV per atom: -2.32
Excess energy over the best structure of this formula in the dataset in meV/atom: 0

# 2
# Rb2SnGe2

Rb2SnGe2 after structural relaxation (PBE, Alexandria via LeMat-Bulk).

Lattice parameters (Å, degrees): 7.3906 7.3906 5.9506 90.00 90.00 90.00
With the nearest neighbours (Å) after each atom.
Fractional coordinates of all 10 atoms:
Rb (0.8136, 0.3136, 0.5000)  6 Ge 3.60-3.77, 5 Rb 3.81-3.90, 4 Sn 4.02
Rb (0.6864, 0.8136, 0.5000)  6 Ge 3.60-3.77, 5 Rb 3.81-3.90, 4 Sn 4.02
Ge (0.6200, 0.1200, 0.0000)  1 Ge 2.51
Sn (0.5000, 0.5000, 0.0000)  4 Ge 2.95
Ge (0.8800, 0.6200, 0.0000)  1 Ge 2.51
Rb (0.3136, 0.1864, 0.5000)  6 Ge 3.60-3.77, 5 Rb 3.81-3.90, 4 Sn 4.02
Ge (0.1200, 0.3800, 0.0000)  1 Ge 2.51
Ge (0.3800, 0.8800, 0.0000)  1 Ge 2.51
Sn (0.0000, 0.0000, 0.0000)  4 Ge 2.95
Rb (0.1864, 0.6864, 0.5000)  6 Ge 3.60-3.77, 5 Rb 3.81-3.90, 4 Sn 4.02

Output
Symmetry: P4/mbm
E_tot in eV per atom: -3.06
Excess energy over the best structure of this formula in the dataset in meV/atom: 47

# 3
# Rb2Sn3Ge2

Rb2Sn3Ge2 after structural relaxation (PBE, Alexandria via LeMat-Bulk).

Lattice parameters (Å, degrees): 4.1814 7.3861 8.4816 68.00 75.73 73.56
With the nearest neighbours (Å) after each atom.
Fractional coordinates of all 7 atoms:
Sn (0.5000, 0.0000, 0.0000)  4 Ge 2.99, 2 Sn 3.31
Rb (0.1256, 0.5181, 0.2306)  4 Ge 3.67-4.08, 6 Sn 3.81-3.92
Rb (0.8744, 0.4819, 0.7694)  4 Ge 3.67-4.08, 6 Sn 3.81-3.92
Ge (0.8410, 0.0969, 0.2211)  5 Sn 2.86-3.01
Sn (0.6428, 0.1407, 0.5737)  3 Ge 2.86-3.01
Sn (0.3572, 0.8593, 0.4263)  3 Ge 2.86-3.01
Ge (0.1590, 0.9031, 0.7789)  5 Sn 2.86-3.01

Output
Symmetry: C2/m
E_tot in eV per atom: -3.39

# 4
# RbSnGe2Te8

RbSnGe2Te8 after structural relaxation (PBE, Alexandria via LeMat-Bulk).

Lattice parameters (Å, degrees): 6.2274 6.2274 15.3706 78.31 78.31 60.00
With the nearest neighbours (Å) after each atom.
Fractional coordinates of all 12 atoms:
Te (0.7224, 0.1383, 0.8259)  1 Ge 2.80
Te (0.2776, 0.8617, 0.1741)  1 Ge 2.80
Te (0.3134, 0.7224, 0.8259)  1 Ge 2.80
Te (0.8053, 0.8053, 0.5841)  1 Ge 2.49
Te (0.8617, 0.6866, 0.1741)  1 Ge 2.80
Te (0.1947, 0.1947, 0.4159)  1 Ge 2.49
Te (0.6866, 0.2776, 0.1741)  1 Ge 2.80
Ge (0.7497, 0.7497, 0.7508)  1 Te 2.49
Ge (0.2503, 0.2503, 0.2492)  1 Te 2.49
Sn (0.0000, 0.0000, 0.0000)  6 Te 3.22
Rb (0.5000, 0.5000, 0.5000)  6 Te 3.81
Te (0.1383, 0.3134, 0.8259)  1 Ge 2.80

Output
Symmetry: R-3
E_tot in eV per atom: -3.36